Entry from Alexandria: an optimized crystal structure of Sm2Cu3P4Pd (PBE).

Cell lengths 4.1134, 4.1134, 9.7171 Å; angles 90.00, 90.00, 90.00 degrees
Closest atoms and distances in Å follow each position.
Atoms (fractional coordinates):
Sm: 0.0000 0.5000 0.2486  8 P 3.10-3.17, 6 Cu 3.15-3.19, 2 Pd 3.19
Sm: 0.5000 0.0000 0.7514  8 P 3.10-3.17, 6 Cu 3.15-3.19, 2 Pd 3.19
Cu: 0.0000 0.5000 0.8768  5 P 2.29-2.38
Cu: 0.5000 0.0000 0.1232  5 P 2.29-2.38
Cu: 0.5000 0.5000 0.5000  4 P 2.47
P: 0.0000 0.0000 0.0000  4 Cu 2.38
P: 0.0000 0.5000 0.6416  3 Cu 2.29-2.47, 2 Pd 2.47
P: 0.5000 0.0000 0.3584  3 Cu 2.29-2.47, 2 Pd 2.47
P: 0.5000 0.5000 0.0000  4 Cu 2.38
Pd: 0.0000 0.0000 0.5000  4 P 2.47

Properties
Crystal system: tetragonal
D(E_F), states/eV/cell: 1.677
Formation energy, meV/atom: -722
SG: P-4m2, No. 115
Total energy, eV per atom: -5.58
Spin magnetization, μB per formula unit: 0.00